No. 1
Crystalline CsK3Nb2O5 at its relaxed geometry, computed with PBE.

Values from the calculation:
electronic total energy	-67.981	eV per cell
volume	258.74	Å³ per cell

CIF file:
```
data_CsK3Nb2O5
_chemical_formula_sum 'Cs1 K3 Nb2 O5'
_symmetry_space_group_name_H-M 'P 1'
_symmetry_Int_Tables_number 1
_cell_length_a 6.011
_cell_length_b 6.011
_cell_length_c 7.804
_cell_angle_alpha 96.49
_cell_angle_beta 96.49
_cell_angle_gamma 67.85
loop_
_symmetry_equiv_pos_as_xyz
'x,y,z'
loop_
_atom_site_label
_atom_site_fract_x
_atom_site_fract_y
_atom_site_fract_z
O1 0.571 0.571 0.440
O2 0.580 0.128 0.177
O3 0.377 0.833 0.821
O4 0.128 0.580 0.177
O5 0.833 0.377 0.821
K1 0.989 0.989 0.002
K2 0.310 0.310 0.854
K3 0.672 0.672 0.136
Cs1 0.993 0.993 0.500
Nb1 0.390 0.390 0.309
Nb2 0.615 0.615 0.691
```



No. 2
Crystalline GdY2Cu4Sn2Ge2 at its relaxed geometry, computed with PBE.

Values from the calculation:
volume	215.55	Å³ per cell
relative energy among the computed polymorphs	68	meV/atom

CIF file:
```
data_GdY2Cu4Sn2Ge2
_chemical_formula_sum 'Gd1 Y2 Cu4 Sn2 Ge2'
_symmetry_space_group_name_H-M 'P 1'
_symmetry_Int_Tables_number 1
_cell_length_a 8.268
_cell_length_b 8.268
_cell_length_c 8.268
_cell_angle_alpha 149.80
_cell_angle_beta 130.16
_cell_angle_gamma 59.39
loop_
_symmetry_equiv_pos_as_xyz
'x,y,z'
loop_
_atom_site_label
_atom_site_fract_x
_atom_site_fract_y
_atom_site_fract_z
Y1 0.635 0.135 0.500
Y2 0.365 0.865 0.500
Cu1 0.989 0.677 0.313
Cu2 0.364 0.677 0.687
Cu3 0.011 0.323 0.687
Cu4 0.636 0.323 0.313
Ge1 0.217 0.217 0.000
Ge2 0.783 0.783 0.000
Sn1 0.701 0.500 0.201
Sn2 0.299 0.500 0.799
Gd1 0.000 0.000 0.000
```



No. 3
Crystalline PmGa3Co2 at its relaxed geometry, computed with PBE.

Values from the calculation:
electronic total energy	-61.611	eV per cell
volume	195.54	Å³ per cell

CIF file:
```
data_PmGa3Co2
_chemical_formula_sum 'Pm2 Ga6 Co4'
_symmetry_space_group_name_H-M 'P 1'
_symmetry_Int_Tables_number 1
_cell_length_a 6.137
_cell_length_b 6.137
_cell_length_c 5.309
_cell_angle_alpha 90.00
_cell_angle_beta 90.00
_cell_angle_gamma 77.98
loop_
_symmetry_equiv_pos_as_xyz
'x,y,z'
loop_
_atom_site_label
_atom_site_fract_x
_atom_site_fract_y
_atom_site_fract_z
Ga1 0.034 0.596 0.750
Ga2 0.404 0.966 0.750
Ga3 0.459 0.541 0.750
Ga4 0.596 0.034 0.250
Ga5 0.541 0.459 0.250
Ga6 0.966 0.404 0.250
Co1 0.711 0.711 0.000
Co2 0.711 0.711 0.500
Co3 0.289 0.289 0.000
Co4 0.289 0.289 0.500
Pm1 0.850 0.150 0.750
Pm2 0.150 0.850 0.250
```



No. 4
Crystalline NbFe2 at its relaxed geometry, computed with PBE.

Values from the calculation:
formation energy	861	kJ/mol of formula units
volume	304.80	Å³ per cell

CIF file:
```
data_NbFe2
_chemical_formula_sum 'Nb2 Fe4'
_symmetry_space_group_name_H-M 'P 1'
_symmetry_Int_Tables_number 1
_cell_length_a 7.554
_cell_length_b 7.554
_cell_length_c 7.554
_cell_angle_alpha 60.00
_cell_angle_beta 60.00
_cell_angle_gamma 60.00
loop_
_symmetry_equiv_pos_as_xyz
'x,y,z'
loop_
_atom_site_label
_atom_site_fract_x
_atom_site_fract_y
_atom_site_fract_z
Fe1 0.375 0.375 0.875
Fe2 0.875 0.375 0.375
Fe3 0.375 0.875 0.375
Fe4 0.375 0.375 0.375
Nb1 0.500 0.500 0.500
Nb2 0.250 0.250 0.250
```